one | ## Ni2Cl (GGA-PBE)

Data for Ni2Cl after structural relaxation. Values from VASP.

Results
The space group is Fm-3m (225). Its magnetization is 1.3 μB per formula unit.

Structure (Quantum ESPRESSO input):
```
&SYSTEM
  ibrav = 0, nat = 3, ntyp = 2
/
ATOMIC_SPECIES
Cl 35.45 Cl.upf
Ni 58.69 Ni.upf
CELL_PARAMETERS angstrom
3.8853 0.0000 0.0000
1.9427 3.3648 0.0000
1.9427 1.1216 3.1724
ATOMIC_POSITIONS angstrom
Cl 0.0000 0.0000 0.0000
Ni 5.8280 3.3648 2.3793
Ni 1.9427 1.1216 0.7931
```

***

two | ## Ni2Cl (GGA-PBE)

Data for Ni2Cl after structural relaxation. Values from VASP.

Results
The space group is C2/m (12). Its magnetization is 1.7 μB per formula unit.

Structure (Quantum ESPRESSO input):
```
&SYSTEM
  ibrav = 0, nat = 6, ntyp = 2
/
ATOMIC_SPECIES
Ni 58.69 Ni.upf
Cl 35.45 Cl.upf
CELL_PARAMETERS angstrom
1.9220 -0.8519 -7.7548
2.8046 2.5247 -7.0935
3.2626 -1.0242 0.8751
ATOMIC_POSITIONS angstrom
Ni 2.9400 0.4885 -6.4174
Ni 1.0850 -0.1519 -0.6725
Ni 6.9043 0.8005 -13.3007
Ni 5.0493 0.1601 -7.5558
Cl 3.8962 0.8515 -9.5467
Cl 4.0931 -0.2029 -4.4264
```

***

Which of them is least stable? Easy: one.

***

one | ## Ni2Cl (GGA-PBE)

Data for Ni2Cl after structural relaxation. Values from VASP.

Results
The space group is Pa-3 (205). Its magnetization is 1.0 μB per formula unit.

Structure (Quantum ESPRESSO input):
```
&SYSTEM
  ibrav = 0, nat = 12, ntyp = 2
/
ATOMIC_SPECIES
Ni 58.69 Ni.upf
Cl 35.45 Cl.upf
CELL_PARAMETERS angstrom
-2.6121 -4.6026 -1.5040
-1.3125 -0.9720 5.2538
-4.6609 2.8532 -0.6365
ATOMIC_POSITIONS angstrom
Ni -4.1892 -2.5454 2.1732
Ni -4.3962 -0.1761 0.9401
Ni -4.4808 0.3453 3.8962
Ni -4.1047 -3.0668 -0.7829
Ni -1.7785 -1.3899 0.1084
Ni -6.8070 -1.3315 3.0048
Ni -6.7224 -1.8529 0.0487
Ni -1.8631 -0.8685 3.0645
Cl 0.0000 0.0000 0.0000
Cl -1.9623 -2.7873 1.8749
Cl -3.6365 -0.8747 -1.0703
Cl -2.9867 0.9406 2.3086
```

***

two | ## Ni2Cl (GGA-PBE)

Data for Ni2Cl after structural relaxation. Values from VASP.

Results
The space group is Pnnm (58). Its magnetization is 1.0 μB per formula unit.

Structure (Quantum ESPRESSO input):
```
&SYSTEM
  ibrav = 0, nat = 6, ntyp = 2
/
ATOMIC_SPECIES
Ni 58.69 Ni.upf
Cl 35.45 Cl.upf
CELL_PARAMETERS angstrom
3.0976 0.0000 0.0000
0.0000 3.6093 0.0000
0.0000 0.0000 7.6212
ATOMIC_POSITIONS angstrom
Ni 0.0000 0.8216 5.4181
Ni 0.0000 2.7877 2.2030
Ni 1.5488 2.6262 6.0136
Ni 1.5488 0.9831 1.6076
Cl 0.0000 0.0000 0.0000
Cl 1.5488 1.8046 3.8106
```

***

three | ## Ni2Cl (GGA-PBE)

Data for Ni2Cl after structural relaxation. Values from VASP.

Results
The space group is Cmcm (63). Its magnetization is 1.9 μB per formula unit.

Structure (Quantum ESPRESSO input):
```
&SYSTEM
  ibrav = 0, nat = 6, ntyp = 2
/
ATOMIC_SPECIES
Ni 58.69 Ni.upf
Cl 35.45 Cl.upf
CELL_PARAMETERS angstrom
1.6459 -9.3742 0.0000
1.6459 9.3742 0.0000
0.0000 0.0000 3.2641
ATOMIC_POSITIONS angstrom
Ni 1.6459 -6.5095 2.4480
Ni 1.6459 4.6752 2.4480
Ni 1.6459 -4.6752 0.8160
Ni 1.6459 6.5095 0.8160
Cl 1.6459 -1.7295 2.4480
Cl 1.6459 1.7295 0.8160
```

***

Which of them is least stable? Easy: one.

***

one | ## Ni2Cl (GGA-PBE)

Data for Ni2Cl after structural relaxation. Values from VASP.

Results
The space group is C2/m (12). Its magnetization is 1.5 μB per formula unit.

Structure (Quantum ESPRESSO input):
```
&SYSTEM
  ibrav = 0, nat = 6, ntyp = 2
/
ATOMIC_SPECIES
Ni 58.69 Ni.upf
Cl 35.45 Cl.upf
CELL_PARAMETERS angstrom
1.4926 5.4063 -0.0729
-1.4926 5.4063 -0.0729
0.0000 3.3147 5.3271
ATOMIC_POSITIONS angstrom
Ni 0.0000 3.7155 3.3234
Ni 0.0000 10.7982 4.2756
Ni 0.0000 3.3290 0.9057
Ni 0.0000 10.4117 1.8579
Cl 0.0000 7.4632 4.1344
Cl 0.0000 6.6640 1.0469
```

***

two | ## Ni2Cl (GGA-PBE)

Data for Ni2Cl after structural relaxation. Values from VASP.

Results
The space group is I4/mmm (139). Its magnetization is 1.5 μB per formula unit.

Structure (Quantum ESPRESSO input):
```
&SYSTEM
  ibrav = 0, nat = 3, ntyp = 2
/
ATOMIC_SPECIES
Cl 35.45 Cl.upf
Ni 58.69 Ni.upf
CELL_PARAMETERS angstrom
5.2903 0.0017 0.0000
3.7069 3.7745 0.0000
-4.4986 -1.8881 2.0458
ATOMIC_POSITIONS angstrom
Cl 0.0000 0.0000 0.0000
Ni 6.0881 2.5552 0.0000
Ni 2.9091 1.2209 0.0000
```

***

three | ## Ni2Cl (GGA-PBE)

Data for Ni2Cl after structural relaxation. Values from VASP.

Results
The space group is P4/mmm (123). Its magnetization is 1.1 μB per formula unit.

Structure (Quantum ESPRESSO input):
```
&SYSTEM
  ibrav = 0, nat = 3, ntyp = 2
/
ATOMIC_SPECIES
Cl 35.45 Cl.upf
Ni 58.69 Ni.upf
CELL_PARAMETERS angstrom
3.4092 0.0000 0.0000
0.0000 3.4092 0.0000
0.0000 0.0000 3.7775
ATOMIC_POSITIONS angstrom
Cl 0.0000 0.0000 0.0000
Ni 0.0000 1.7046 1.8887
Ni 1.7046 0.0000 1.8887
```

***

Which of them is least stable? Easy: three.

***

one | ## Ni2Cl (GGA-PBE)

Data for Ni2Cl after structural relaxation. Values from VASP.

Results
The space group is P-3m1 (164). Its magnetization is 0.8 μB per formula unit.

Structure (Quantum ESPRESSO input):
```
&SYSTEM
  ibrav = 0, nat = 3, ntyp = 2
/
ATOMIC_SPECIES
Cl 35.45 Cl.upf
Ni 58.69 Ni.upf
CELL_PARAMETERS angstrom
-2.2705 -0.6082 2.0475
0.6318 -2.0337 -2.2764
3.1886 -2.2268 2.8744
ATOMIC_POSITIONS angstrom
Cl 0.0000 0.0000 0.0000
Ni 0.7554 -2.3205 0.1483
Ni 0.7945 -2.5483 2.4970
```

***

two | ## Ni2Cl (GGA-PBE)

Data for Ni2Cl after structural relaxation. Values from VASP.

Results
The space group is P6_3/mmc (194). Its magnetization is 1.1 μB per formula unit.

Structure (Quantum ESPRESSO input):
```
&SYSTEM
  ibrav = 0, nat = 6, ntyp = 2
/
ATOMIC_SPECIES
Ni 58.69 Ni.upf
Cl 35.45 Cl.upf
CELL_PARAMETERS angstrom
1.9587 -3.3925 0.0000
1.9587 3.3925 0.0000
0.0000 0.0000 6.0094
ATOMIC_POSITIONS angstrom
Ni 0.0000 0.0000 0.0000
Ni 0.0000 0.0000 3.0047
Ni 1.9587 1.1308 1.5023
Ni 1.9587 -1.1308 4.5070
Cl 1.9587 -1.1308 1.5023
Cl 1.9587 1.1308 4.5070
```

***

three | ## Ni2Cl (GGA-PBE)

Data for Ni2Cl after structural relaxation. Values from VASP.

Results
The space group is Fd-3m (227). Its magnetization is 1.7 μB per formula unit.

Structure (Quantum ESPRESSO input):
```
&SYSTEM
  ibrav = 0, nat = 6, ntyp = 2
/
ATOMIC_SPECIES
Ni 58.69 Ni.upf
Cl 35.45 Cl.upf
CELL_PARAMETERS angstrom
0.0000 3.5166 3.5166
3.5166 0.0000 3.5166
3.5166 3.5166 0.0000
ATOMIC_POSITIONS angstrom
Ni 2.6375 0.8792 2.6375
Ni 0.8792 0.8792 0.8792
Ni 0.8792 2.6375 2.6375
Ni 2.6375 2.6375 0.8792
Cl 5.2750 5.2750 5.2750
Cl 3.5166 3.5166 3.5166
```

***

four | ## Ni2Cl (GGA-PBE)

Data for Ni2Cl after structural relaxation. Values from VASP.

Results
The space group is Cm (8). Its magnetization is 0.9 μB per formula unit.

Structure (Quantum ESPRESSO input):
```
&SYSTEM
  ibrav = 0, nat = 6, ntyp = 2
/
ATOMIC_SPECIES
Ni 58.69 Ni.upf
Cl 35.45 Cl.upf
CELL_PARAMETERS angstrom
1.5913 5.0519 -0.1010
-1.5913 5.0519 -0.1010
0.0000 2.5914 5.3175
ATOMIC_POSITIONS angstrom
Ni 0.0000 3.9616 2.3032
Ni 0.0000 6.2827 3.1943
Ni 0.0000 1.6330 1.4307
Ni 0.0000 10.3016 4.8684
Cl 0.0000 9.5489 0.6871
Cl 0.0000 8.4736 3.7155
```

***

Which of them is least stable? Easy: three.

***

one | ## Ni5Cl (GGA-PBE)

Data for Ni5Cl after structural relaxation. Values from VASP.

Results
The space group is P4/mmm (123). Its magnetization is 3.3 μB per formula unit.

Structure (Quantum ESPRESSO input):
```
&SYSTEM
  ibrav = 0, nat = 6, ntyp = 2
/
ATOMIC_SPECIES
Ni 58.69 Ni.upf
Cl 35.45 Cl.upf
CELL_PARAMETERS angstrom
2.9277 0.0000 0.0000
0.0000 2.9277 0.0000
0.0000 0.0000 8.6395
ATOMIC_POSITIONS angstrom
Ni 0.0000 0.0000 6.9124
Ni 0.0000 0.0000 1.7271
Ni 1.4639 1.4639 5.5921
Ni 1.4639 1.4639 3.0475
Ni 0.0000 0.0000 4.3198
Cl 1.4639 1.4639 0.0000
```

***

two | ## Ni5Cl (GGA-PBE)

Data for Ni5Cl after structural relaxation. Values from VASP.

Results
The space group is P6/mmm (191). Its magnetization is 3.6 μB per formula unit.

Structure (Quantum ESPRESSO input):
```
&SYSTEM
  ibrav = 0, nat = 6, ntyp = 2
/
ATOMIC_SPECIES
Ni 58.69 Ni.upf
Cl 35.45 Cl.upf
CELL_PARAMETERS angstrom
2.3685 -4.1023 0.0000
2.3685 4.1023 0.0000
0.0000 0.0000 4.1342
ATOMIC_POSITIONS angstrom
Ni 2.3685 1.3674 0.0000
Ni 2.3685 -1.3674 0.0000
Ni 1.1842 -2.0512 2.0671
Ni 1.1842 2.0512 2.0671
Ni 2.3685 0.0000 2.0671
Cl 0.0000 0.0000 0.0000
```

***

three | ## Ni5Cl (GGA-PBE)

Data for Ni5Cl after structural relaxation. Values from VASP.

Results
The space group is F-43m (216). Its magnetization is 2.8 μB per formula unit.

Structure (Quantum ESPRESSO input):
```
&SYSTEM
  ibrav = 0, nat = 6, ntyp = 2
/
ATOMIC_SPECIES
Ni 58.69 Ni.upf
Cl 35.45 Cl.upf
CELL_PARAMETERS angstrom
0.0000 3.3707 3.3707
3.3707 0.0000 3.3707
3.3707 3.3707 0.0000
ATOMIC_POSITIONS angstrom
Ni 5.0560 5.0560 5.0560
Ni 2.5319 4.2094 4.2094
Ni 4.2094 2.5319 4.2094
Ni 4.2094 4.2094 2.5319
Ni 2.5319 2.5319 2.5319
Cl 0.0000 0.0000 0.0000
```

***

Which of them is least stable? Easy: three.

***

one | ## Ni4Cl5 (GGA-PBE)

Data for Ni4Cl5 after structural relaxation. Values from VASP.

Results
The space group is I4/mmm (139). Its magnetization is 4.3 μB per formula unit.

Structure (Quantum ESPRESSO input):
```
&SYSTEM
  ibrav = 0, nat = 9, ntyp = 2
/
ATOMIC_SPECIES
Ni 58.69 Ni.upf
Cl 35.45 Cl.upf
CELL_PARAMETERS angstrom
-4.9366 4.9366 1.5438
4.9366 -4.9366 1.5438
4.9366 4.9366 -1.5438
ATOMIC_POSITIONS angstrom
Ni 0.0000 3.5632 0.0000
Ni 0.0000 6.3100 0.0000
Ni 6.3100 0.0000 0.0000
Ni 3.5632 0.0000 0.0000
Cl 0.0000 0.0000 0.0000
Cl 1.6386 -1.6386 1.5438
Cl -1.6386 1.6386 1.5438
Cl 1.6386 1.6386 1.5438
Cl 3.2980 3.2980 0.0000
```

***

two | ## Ni4Cl5 (GGA-PBE)

Data for Ni4Cl5 after structural relaxation. Values from VASP.

Results
The space group is P6_3/mcm (193). Its magnetization is 5.0 μB per formula unit.

Structure (Quantum ESPRESSO input):
```
&SYSTEM
  ibrav = 0, nat = 18, ntyp = 2
/
ATOMIC_SPECIES
Ni 58.69 Ni.upf
Cl 35.45 Cl.upf
CELL_PARAMETERS angstrom
7.4755 0.0000 0.0000
-3.7378 6.4740 0.0000
0.0000 0.0000 6.4818
ATOMIC_POSITIONS angstrom
Ni 0.0000 0.0000 0.0000
Ni 0.0000 0.0000 3.2409
Ni -1.7457 3.0236 1.6204
Ni 1.9921 3.4504 1.6204
Ni 3.4914 0.0000 1.6204
Ni -1.9921 3.4504 4.8613
Ni 1.7457 3.0236 4.8613
Ni 3.9842 0.0000 4.8613
Cl -2.8539 4.9430 1.6204
Cl 0.8839 1.5310 1.6204
Cl 5.7077 0.0000 1.6204
Cl -0.8839 1.5310 4.8613
Cl 2.8539 4.9430 4.8613
Cl 1.7678 0.0000 4.8613
Cl 3.7378 2.1580 0.0000
Cl 0.0000 4.3160 3.2409
Cl 0.0000 4.3160 0.0000
Cl 3.7378 2.1580 3.2409
```

***

Which of them is least stable? Easy: one.

***

one | ## Ni2Cl3 (GGA-PBE)

Data for Ni2Cl3 after structural relaxation. Values from VASP.

Results
The space group is R-3c (167). Its magnetization is 3.0 μB per formula unit.

Structure (Quantum ESPRESSO input):
```
&SYSTEM
  ibrav = 0, nat = 10, ntyp = 2
/
ATOMIC_SPECIES
Ni 58.69 Ni.upf
Cl 35.45 Cl.upf
CELL_PARAMETERS angstrom
-0.9942 -5.7201 -1.8235
-1.2037 -4.3344 4.0984
-6.1748 -2.2630 0.3111
ATOMIC_POSITIONS angstrom
Ni -4.7621 -9.5416 2.0641
Ni -6.7506 -5.6459 1.0822
Ni -3.6105 -2.7759 0.5218
Ni -1.6221 -6.6716 1.5037
Cl -5.6007 -5.3326 3.1845
Cl -5.8976 -7.8631 0.6393
Cl -5.1423 -4.4642 -0.2803
Cl -2.4750 -4.4544 1.9466
Cl -3.2304 -7.8534 2.8663
Cl -2.7720 -6.9849 -0.5986
```

***

two | ## Ni2Cl3 (GGA-PBE)

Data for Ni2Cl3 after structural relaxation. Values from VASP.

Results
The space group is Fdd2 (43). Its magnetization is 3.0 μB per formula unit.

Structure (Quantum ESPRESSO input):
```
&SYSTEM
  ibrav = 0, nat = 10, ntyp = 2
/
ATOMIC_SPECIES
Ni 58.69 Ni.upf
Cl 35.45 Cl.upf
CELL_PARAMETERS angstrom
0.0000 5.5397 5.7144
3.0465 0.0000 5.7144
3.0465 5.5397 0.0000
ATOMIC_POSITIONS angstrom
Ni 2.5185 4.0749 5.0464
Ni 2.5185 7.0045 6.3824
Ni 4.0417 6.8448 9.2396
Ni 4.0417 9.7744 7.9036
Cl 3.2068 5.8191 3.6641
Cl 3.2068 5.2603 7.7647
Cl 4.7301 8.5890 10.6219
Cl 4.7301 8.0302 6.5213
Cl 0.7353 5.5397 5.7144
Cl 2.2585 2.7699 2.8572
```

***

Which of them is least stable? Easy: two.

***

one | ## Ni3Cl4 (GGA-PBE)

Data for Ni3Cl4 after structural relaxation. Values from VASP.

Results
The space group is P6/mmm (191). Its magnetization is 2.9 μB per formula unit.

Structure (Quantum ESPRESSO input):
```
&SYSTEM
  ibrav = 0, nat = 7, ntyp = 2
/
ATOMIC_SPECIES
Ni 58.69 Ni.upf
Cl 35.45 Cl.upf
CELL_PARAMETERS angstrom
2.7453 -4.7549 0.0000
2.7453 4.7549 0.0000
0.0000 0.0000 4.5130
ATOMIC_POSITIONS angstrom
Ni 1.3726 -2.3775 0.0000
Ni 1.3726 2.3775 0.0000
Ni 2.7453 0.0000 0.0000
Cl 0.0000 0.0000 1.1350
Cl 0.0000 0.0000 3.3779
Cl 2.7453 1.5850 2.2565
Cl 2.7453 -1.5850 2.2565
```

***

two | ## Ni3Cl4 (GGA-PBE)

Data for Ni3Cl4 after structural relaxation. Values from VASP.

Results
The space group is C2/m (12). Its magnetization is 4.0 μB per formula unit.

Structure (Quantum ESPRESSO input):
```
&SYSTEM
  ibrav = 0, nat = 14, ntyp = 2
/
ATOMIC_SPECIES
Ni 58.69 Ni.upf
Cl 35.45 Cl.upf
CELL_PARAMETERS angstrom
-5.9964 -9.4891 3.8833
-4.0040 -8.9823 6.6608
-4.7865 3.6895 2.7602
ATOMIC_POSITIONS angstrom
Ni 0.0000 0.0000 0.0000
Ni -4.0872 -5.8148 3.9929
Ni -11.0386 -11.3222 9.9843
Ni -7.3934 -7.3909 6.6522
Ni -3.7483 -3.4597 3.3201
Ni -10.6997 -8.9670 9.3114
Cl -4.9442 -1.1570 3.7577
Cl -9.6910 -7.2479 8.2741
Cl -12.8021 -15.0762 11.9343
Cl -7.0987 -2.7497 5.5938
Cl -7.6882 -12.0322 7.7105
Cl -1.9847 0.2943 1.3700
Cl -5.0959 -7.5340 5.0302
Cl -9.8427 -13.6249 9.5466
```

***

three | ## Ni3Cl4 (GGA-PBE)

Data for Ni3Cl4 after structural relaxation. Values from VASP.

Results
The space group is Cmmm (65). Its magnetization is 4.0 μB per formula unit.

Structure (Quantum ESPRESSO input):
```
&SYSTEM
  ibrav = 0, nat = 7, ntyp = 2
/
ATOMIC_SPECIES
Ni 58.69 Ni.upf
Cl 35.45 Cl.upf
CELL_PARAMETERS angstrom
-4.2532 3.0292 -3.1043
1.6476 -4.8348 -3.2882
-2.4873 -1.9027 1.5513
ATOMIC_POSITIONS angstrom
Ni -3.3703 0.5633 -0.7765
Ni -0.4199 -3.3687 -0.8685
Ni -1.3028 -0.9028 -3.1962
Cl -3.1455 -2.2693 -3.8904
Cl -1.9474 -1.4390 -0.9509
Cl -2.7970 1.0886 -3.1496
Cl 0.1914 -2.8941 -3.2428
```

***

Which of them is least stable? Easy: one.